[1]
TeMoIr3, optimized geometry, DFT PBEsol; VASP energy = -36.6 eV per cell; energy above the lowest structure with this stoichiometry = 0.000 eV/atom; crystal system = cubic; raw formation energy = 8.18 eV per formula unit
1.0
4.6826 0.0000 0.0000
0.0000 4.6826 0.0000
0.0000 0.0000 4.6826
Te Mo Ir
1 1 3
direct
0.5000 0.5000 0.5000
0.0000 0.0000 0.0000
0.0000 0.5000 0.0000
0.5000 0.0000 0.0000
0.0000 0.0000 0.5000



[2]
TeMoIr2, optimized geometry, DFT PBEsol; VASP energy = -33.6 eV per cell; energy above the lowest structure with this stoichiometry = 0.000 eV/atom; crystal system = trigonal; raw formation energy = 1.35 eV per formula unit
1.0
2.8887 0.0000 0.0000
1.4443 2.5017 0.0000
1.4443 0.8339 9.1066
Te Ir Mo
1 2 1
direct
0.5000 0.5000 0.5000
0.2560 0.2560 0.2320
0.7440 0.7440 0.7680
0.0000 0.0000 0.0000



Question: The highest VASP energy belongs to which entry?
Answer: TeMoIr2